Record 1
Density functional theory data (PBE-GGA) for a relaxed CdInAu4 crystal.

Values from the calculation:
E above lowest polymorph: 0.028 eV per atom
Crystal system: monoclinic
E: -2.894 eV/atom
Calculated formation energy: -101 meV per atom
Total moment: 0.0 μB per cell

Cell lengths 7.4025, 4.9826, 6.8515 Å; angles 90.00, 105.50, 90.00 degrees
Last column: nearest neighbours and their distance in Å.
Space group C2/m (No. 12)
Inequivalent atoms, fractional coordinates:
Cd1 0.0000 0.0000 0.0000  8 Au 2.86-2.98
In1 0.0000 0.0000 0.5000  8 Au 2.87-3.04
Au1 0.1634 0.5000 0.6756  1 Cd 2.86, 4 Au 2.86-2.93, 3 In 2.89-3.04
Au2 0.1675 0.5000 0.1676  4 Au 2.86-2.93, 1 In 2.87, 3 Cd 2.88-2.98

---

Record 2
Density functional theory data (PBE-GGA) for a relaxed Cd2In2Au crystal.

Values from the calculation:
E above lowest polymorph: 0.000 eV per atom
Crystal system: tetragonal
E: -2.095 eV/atom
Calculated formation energy: 21 meV per atom
Total moment: 0.0 μB per cell

Cell lengths 7.3152, 7.3152, 4.6049 Å; angles 90.00, 90.00, 90.00 degrees
Last column: nearest neighbours and their distance in Å.
Space group P4/mbm (No. 127)
Inequivalent atoms, fractional coordinates:
Cd1 0.1582 0.3418 0.0000  6 In 3.04-3.22, 1 Cd 3.27
In1 0.1499 0.6499 0.5000  2 Au 2.79, 2 Cd 3.04, 1 In 3.10
Au1 0.0000 0.0000 0.5000  4 In 2.79

---

Record 3
Density functional theory data (PBE-GGA) for a relaxed Cd3In2Au4 crystal.

Values from the calculation:
E above lowest polymorph: 0.000 eV per atom
Crystal system: monoclinic
E: -2.547 eV/atom
Calculated formation energy: -177 meV per atom
Total moment: 0.0 μB per cell

Cell lengths 8.3239, 4.7286, 10.1040 Å; angles 90.00, 104.94, 90.00 degrees
Last column: nearest neighbours and their distance in Å.
Space group C2/m (No. 12)
Inequivalent atoms, fractional coordinates:
Cd1 0.0000 0.0000 0.0000  8 Au 2.90-3.06
Cd2 0.0941 0.5000 0.7927  7 Au 2.94-2.97
In1 0.1962 0.0000 0.6011  5 Au 2.81-2.97
Au1 0.1086 0.0000 0.3131  4 In 2.81-2.88, 4 Cd 2.94-3.06
Au2 0.1994 0.5000 0.0952  7 Cd 2.90-2.97, 1 In 2.97

---

Record 4
Density functional theory data (PBE-GGA) for a relaxed CdIn2Au3 crystal.

Values from the calculation:
E above lowest polymorph: 0.016 eV per atom
Crystal system: triclinic
E: -2.839 eV/atom
Calculated formation energy: -135 meV per atom
Total moment: 0.0 μB per cell

Cell lengths 3.9905, 8.1998, 8.7053 Å; angles 76.00, 77.30, 89.79 degrees
Last column: nearest neighbours and their distance in Å.
Space group P-1 (No. 2)
Inequivalent atoms, fractional coordinates:
Cd1 0.1687 0.4916 0.1695  6 Au 2.82-2.93
In1 0.1652 0.9857 0.1780  6 Au 2.77-2.95
In2 0.4936 0.7438 0.5132  5 Au 2.84-2.97
Au1 0.0000 0.0000 0.5000  6 In 2.77-2.89
Au2 0.0000 0.5000 0.5000  2 Cd 2.82, 4 In 2.84-2.85
Au3 0.3128 0.2417 0.8655  3 In 2.82-2.95, 2 Cd 2.91-2.93, 2 Au 3.07-3.08
Au4 0.3166 0.7462 0.8621  3 Cd 2.84-2.91, 3 In 2.92-2.97, 2 Au 3.07-3.08